The following is a SCAN calculation of a crystal of NaBiSeBr2 relaxed with PBEsol, from the Alexandria database.

Cell and atoms, written as extended XYZ:
```
5
Lattice="5.002 0.000 0.000 0.000 5.002 0.000 0.000 0.000 5.406" Properties=species:S:1:pos:R:3 pbc="T T T"
Na 0.000 0.000 0.000
Bi 2.501 2.501 2.703
Se 0.000 0.000 2.703
Br 0.000 2.501 0.000
Br 2.501 0.000 0.000
```

Results
* electronic total energy: -28.49 eV/atom
* formation energy without anion corrections: -0.1310 eV/atom
* total moment: 0.1 μB/f.u.